[1]
Here is an optimized crystal structure of Sm3In12Ga5 from Alexandria via LeMat-Bulk. Energies are from PBE.

Cell lengths 17.076, 17.076, 17.076 Å; angles 90.00, 90.00, 90.00 degrees
Space group Ia-3d (No. 230)
One atom of each set of equivalent atoms:
Sm1 0.000 0.250 0.125
In1 0.029 0.070 0.645
Ga1 0.000 0.000 0.000
Ga2 0.000 0.250 0.375

Results
The energy of formation from the pure elements is 157 meV/atom. The magnetic moment is 0.000 μB/f.u. The calculation puts the uncorrected energy at -2.951 eV/atom. The crystal system is cubic. As for the volume: 622.4 Å³/f.u. The density is 5.81 g/cm³.

***

[2]
Here is an optimized crystal structure of Na2PdSe2 from Alexandria via LeMat-Bulk. Energies are from PBE.

Cell lengths 3.709, 7.013, 8.836 Å; angles 90.00, 90.00, 90.00 degrees
Space group Immm (No. 71)
One atom of each set of equivalent atoms:
Na1 0.000 0.000 0.206
Pd1 0.000 0.500 0.000
Se1 0.000 0.240 0.500

Results
The magnetic moment is 0.000 μB/f.u. The calculation puts the uncorrected energy at -3.759 eV/atom. The crystal system is orthorhombic. As for the volume: 114.9 Å³/f.u. The density is 4.48 g/cm³. Its formation energy without anion corrections is -0.7986 eV per atom.

***

[3]
Here is an optimized crystal structure of HfSiGeC2 from Alexandria via LeMat-Bulk. Energies are from PBE.

Cell lengths 3.885, 3.885, 5.060 Å; angles 90.00, 90.00, 90.00 degrees
Space group P4/mmm (No. 123)
One atom of each set of equivalent atoms:
Hf1 0.000 0.000 0.000
Si1 0.500 0.500 0.000
Ge1 0.500 0.500 0.500
C1 0.000 0.500 0.500

Results
The magnetic moment is 0.000 μB/f.u. The calculation puts the uncorrected energy at -5.988 eV/atom. The crystal system is tetragonal. As for the volume: 76.4 Å³/f.u. The density is 6.59 g/cm³. Its formation energy without anion corrections is 1.7000 eV per atom.

***

[4]
Here is an optimized crystal structure of La2TlMo from Alexandria via LeMat-Bulk. Energies are from PBE.

Cell lengths 3.859, 5.115, 5.521 Å; angles 90.00, 90.28, 90.00 degrees
Space group Pm (No. 6)
One atom of each set of equivalent atoms:
La1 0.000 0.000 0.000
La2 0.007 0.500 0.564
Tl1 0.505 0.000 0.465
Mo1 0.503 0.500 0.128

Results
The energy of formation from the pure elements is 222 meV/atom. The magnetic moment is 0.695 μB/f.u. The calculation puts the uncorrected energy at -5.541 eV/atom. The crystal system is monoclinic. As for the volume: 109.0 Å³/f.u. The density is 8.81 g/cm³.

***

[5]
Here is an optimized crystal structure of NdSnGe2 from Alexandria via LeMat-Bulk. Energies are from PBE.

Cell lengths 4.8131, 4.8131, 14.7670 Å; angles 90.00, 90.00, 120.00 degrees
Space group R-3m (No. 166, hexagonal axes)
One atom of each set of equivalent atoms:
Nd1 0.0000 0.0000 0.0000
Sn1 0.0000 0.0000 0.5000
Ge1 0.0000 0.0000 0.2193

Results
The energy of formation from the pure elements is -244 meV/atom. The magnetic moment is 0.000 μB/f.u. The calculation puts the uncorrected energy at -4.746 eV/atom. The crystal system is trigonal. As for the volume: 98.8 Å³/f.u. The density is 6.86 g/cm³.

***

[6]
Here is an optimized crystal structure of Li14ZnGa from Alexandria via LeMat-Bulk. Energies are from PBE.

Cell lengths 9.584, 6.445, 9.367 Å; angles 90.00, 90.00, 90.00 degrees
Space group Amm2 (No. 38)
One atom of each set of equivalent atoms:
Li1 0.000 0.000 0.000
Li2 0.000 0.000 0.493
Li3 0.000 0.244 0.746
Li4 0.256 0.000 0.223
Li5 0.260 0.000 0.706
Li6 0.268 0.244 0.964
Li7 0.500 0.247 0.209
Zn1 0.500 0.000 0.957
Ga1 0.500 0.000 0.460

Results
The energy of formation from the pure elements is -61 meV/atom. The magnetic moment is 0.000 μB/f.u. The calculation puts the uncorrected energy at -2.004 eV/atom. The crystal system is orthorhombic. As for the volume: 289.3 Å³/f.u. The density is 1.33 g/cm³.

***

[7]
Here is an optimized crystal structure of Ba2ZnGa2 from Alexandria via LeMat-Bulk. Energies are from PBE.

Cell lengths 7.661, 7.661, 5.230 Å; angles 90.00, 90.00, 90.00 degrees
Space group P4/mbm (No. 127)
One atom of each set of equivalent atoms:
Ba1 0.183 0.317 0.000
Zn1 0.000 0.000 0.500
Ga1 0.123 0.623 0.500

Results
The energy of formation from the pure elements is -166 meV/atom. The magnetic moment is 0.000 μB/f.u. The calculation puts the uncorrected energy at -2.401 eV/atom. The crystal system is tetragonal. As for the volume: 153.5 Å³/f.u. The density is 5.19 g/cm³.

***

[8]
Here is an optimized crystal structure of CdRe2Te from Alexandria via LeMat-Bulk. Energies are from PBE.

Cell lengths 3.099, 4.874, 4.876 Å; angles 90.00, 90.00, 90.00 degrees
Space group Pmmm (No. 47)
One atom of each set of equivalent atoms:
Cd1 0.000 0.000 0.000
Re1 0.000 0.500 0.500
Re2 0.500 0.000 0.500
Te1 0.500 0.500 0.000

Results
The magnetic moment is 0.000 μB/f.u. The calculation puts the uncorrected energy at -6.126 eV/atom. The crystal system is orthorhombic. As for the volume: 73.7 Å³/f.u. The density is 13.81 g/cm³. Its formation energy without anion corrections is 1.1127 eV per atom.